(1)
Here is a relaxed structure of Tb2ZrZn3 from Alexandria via LeMat-Bulk. Energies are from PBE.

## Properties
- Energy relative to the elements: -0.2658 eV/atom
- Calculated volume: 128.4 Å³/cell
- Symmetry: P-3m1
- Excess energy over the best structure of this formula in the dataset: 20 meV/atom

Lattice parameters (Å, degrees): 4.939 4.939 6.076 90.00 90.00 120.00
Element x y z (fractional)
Tb: 0.333 0.667 0.174
Tb: 0.667 0.333 0.826
Zr: 0.000 0.000 0.500
Zn: 0.000 0.000 0.000
Zn: 0.333 0.667 0.660
Zn: 0.667 0.333 0.340



(2)
Here is a relaxed structure of PmH4Pd4 from Alexandria via LeMat-Bulk. Energies are from PBE.

## Properties
- DFT total energy: -4.737 eV/atom
- Calculated volume: 100.3 Å³/cell
- Symmetry: I4/m

Lattice parameters (Å, degrees): 5.392 5.392 5.392 97.92 97.92 136.42
Element x y z (fractional)
Pm: 0.000 0.000 0.000
H: 0.176 0.660 0.836
H: 0.340 0.176 0.516
H: 0.660 0.824 0.484
H: 0.824 0.340 0.164
Pd: 0.190 0.389 0.579
Pd: 0.389 0.810 0.199
Pd: 0.611 0.190 0.801
Pd: 0.810 0.611 0.421



(3)
Here is a relaxed structure of TaPSeO2 from Alexandria via LeMat-Bulk. Energies are from PBE.

## Properties
- E_form (uncorrected): 26.65 kJ per mole of atoms
- Calculated volume: 72.5 Å³/cell
- Symmetry: P4/mmm
- Excess energy over the best structure of this formula in the dataset: 1557 meV/atom

Lattice parameters (Å, degrees): 3.796 3.796 5.031 90.00 90.00 90.00
Element x y z (fractional)
Ta: 0.000 0.000 0.000
P: 0.500 0.500 0.000
Se: 0.500 0.500 0.500
O: 0.000 0.500 0.500
O: 0.500 0.000 0.500



(4)
Here is a relaxed structure of NbB2Ir from Alexandria via LeMat-Bulk. Energies are from PBE.

## Properties
- Energy relative to the elements: 0.3444 eV/atom
- Calculated volume: 113.4 Å³/cell
- Symmetry: I-42d
- Excess energy over the best structure of this formula in the dataset: 150 meV/atom

Lattice parameters (Å, degrees): 6.565 6.565 6.565 140.52 140.52 57.06
Element x y z (fractional)
Nb: 0.000 0.000 0.000
Nb: 0.750 0.250 0.500
B: 0.185 0.625 0.060
B: 0.375 0.435 0.560
B: 0.565 0.125 0.940
B: 0.875 0.815 0.440
Ir: 0.250 0.750 0.500
Ir: 0.500 0.500 0.000



(5)
Here is a relaxed structure of AlNi2I from Alexandria via LeMat-Bulk. Energies are from PBE.

## Properties
- E_form (uncorrected): 30.98 kJ per mole of atoms
- Calculated volume: 149.2 Å³/cell
- Symmetry: I-42d
- Excess energy over the best structure of this formula in the dataset: 0 meV/atom

Lattice parameters (Å, degrees): 8.177 8.177 8.177 148.46 148.46 45.21
Element x y z (fractional)
Al: 0.000 0.000 0.000
Al: 0.750 0.250 0.500
Ni: 0.072 0.625 0.947
Ni: 0.375 0.322 0.447
Ni: 0.678 0.125 0.053
Ni: 0.875 0.928 0.553
I: 0.250 0.750 0.500
I: 0.500 0.500 0.000



(6)
Here is a relaxed structure of YMg14Ti from Alexandria via LeMat-Bulk. Energies are from PBE.

## Properties
- Energy relative to the elements: 0.0411 eV/atom
- Calculated volume: 372.3 Å³/cell
- Symmetry: Amm2
- Excess energy over the best structure of this formula in the dataset: 0 meV/atom

Lattice parameters (Å, degrees): 10.372 6.493 6.493 58.37 90.00 90.00
Element x y z (fractional)
Y: 0.000 0.000 0.000
Mg: 0.000 0.003 0.497
Mg: 0.000 0.497 0.003
Mg: 0.238 0.654 0.654
Mg: 0.250 0.164 0.655
Mg: 0.250 0.655 0.164
Mg: 0.256 0.160 0.160
Mg: 0.500 0.496 0.496
Mg: 0.500 0.497 0.992
Mg: 0.500 0.992 0.497
Mg: 0.500 0.993 0.993
Mg: 0.744 0.160 0.160
Mg: 0.750 0.164 0.655
Mg: 0.750 0.655 0.164
Mg: 0.762 0.654 0.654
Ti: 0.000 0.492 0.492



(7)
Here is a relaxed structure of KNp2F8 from Alexandria via LeMat-Bulk. Energies are from PBE.

## Properties
- E_form (uncorrected): -330.49 kJ per mole of atoms
- Calculated volume: 174.3 Å³/cell
- Symmetry: C2/m
- Excess energy over the best structure of this formula in the dataset: 0 meV/atom

Lattice parameters (Å, degrees): 6.564 6.564 4.472 95.34 95.34 113.35
Element x y z (fractional)
K: 0.000 0.000 0.000
Np: 0.323 0.677 0.500
Np: 0.677 0.323 0.500
F: 0.045 0.336 0.569
F: 0.265 0.735 0.000
F: 0.336 0.045 0.569
F: 0.395 0.395 0.233
F: 0.605 0.605 0.767
F: 0.664 0.955 0.431
F: 0.735 0.265 0.000
F: 0.955 0.664 0.431



(8)
Here is a relaxed structure of CoSe2Cl2 from Alexandria via LeMat-Bulk. Energies are from PBE.

## Properties
- E_form (uncorrected): -23.90 kJ per mole of atoms
- Calculated volume: 281.0 Å³/cell
- Symmetry: C2/m

Lattice parameters (Å, degrees): 6.472 6.472 7.673 106.65 106.65 101.36
Element x y z (fractional)
Co: 0.157 0.843 0.000
Co: 0.843 0.157 0.000
Se: 0.111 0.111 0.262
Se: 0.200 0.200 0.934
Se: 0.800 0.800 0.066
Se: 0.889 0.889 0.738
Cl: 0.252 0.629 0.774
Cl: 0.371 0.748 0.226
Cl: 0.629 0.252 0.774
Cl: 0.748 0.371 0.226